VASP calculation (PBE) on crystalline Cs3CeDy2Te6 at its relaxed geometry.

- V (A^3/atom) = 41.127
- calculated density (g/cm³) = 5.48
- total DFT energy (no corrections) (eV per atom) = -4.413

Lattice parameters (Å, degrees): 7.993 7.993 9.311 98.23 98.23 120.00
Atoms (fractional coordinates):
Cs 0.000 0.000 0.000
Cs 0.335 0.665 0.000
Cs 0.665 0.335 0.000
Ce 0.500 0.500 0.500
Dy 0.167 0.833 0.500
Dy 0.833 0.167 0.500
Te 0.094 0.436 0.309
Te 0.221 0.221 0.690
Te 0.436 0.094 0.309
Te 0.564 0.906 0.691
Te 0.779 0.779 0.310
Te 0.906 0.564 0.691